Entry from the Alexandria database: InAu5 at its PBEsol-relaxed geometry (meta-GGA SCAN).

Values from the calculation:
formation enthalpy at 0 K = 0.01 eV per formula unit

```
data_InAu5
_symmetry_space_group_name_H-M 'P 6/m m m'
_symmetry_Int_Tables_number 191
_symmetry_space_group_name_Hall '-P 6 2'
_cell_length_a 5.4399
_cell_length_b 5.4399
_cell_length_c 4.6421
_cell_angle_alpha 90.00
_cell_angle_beta 90.00
_cell_angle_gamma 120.00
loop_
_atom_site_label
_atom_site_type_symbol
_atom_site_fract_x
_atom_site_fract_y
_atom_site_fract_z
_atom_site_occupancy
In1 In 0.0000 0.0000 0.0000 1
Au1 Au 0.0000 0.5000 0.5000 1
Au2 Au 0.3333 0.6667 0.0000 1
```